# Ca3SnN3 PBE optimized geometry
# DOS at the Fermi energy = 0.3770 states/eV/atom
# energy relative to the lowest polymorph listed for this composition = 0.000 eV/f.u.
# formation energy from raw total energies = -0.573 eV/atom
data_Ca3SnN3
_cell_length_a 7.6554
_cell_length_b 7.6554
_cell_length_c 4.9616
_cell_angle_alpha 90.00
_cell_angle_beta 90.00
_cell_angle_gamma 120.00
_space_group_name_H-M_alt 'P 63/m'
_space_group_IT_number 176
_space_group_name_Hall '-P 6c'
loop_
_atom_site_label
_atom_site_fract_x
_atom_site_fract_y
_atom_site_fract_z
Ca1 0.0908 0.7457 0.2500
Sn1 0.3333 0.6667 0.7500
N1 0.0977 0.7298 0.7500

# CdCoSb2I PBE optimized geometry
# DOS at the Fermi energy = 0.9928 states/eV/atom
# energy relative to the lowest polymorph listed for this composition = 0.000 eV/f.u.
# formation energy from raw total energies = 0.342 eV/atom
data_CdCoSb2I
_cell_length_a 4.8981
_cell_length_b 4.8981
_cell_length_c 5.7401
_cell_angle_alpha 90.00
_cell_angle_beta 90.00
_cell_angle_gamma 90.00
_space_group_name_H-M_alt 'P 4/m m m'
_space_group_IT_number 123
_space_group_name_Hall '-P 4 2'
loop_
_atom_site_label
_atom_site_fract_x
_atom_site_fract_y
_atom_site_fract_z
Cd1 0.0000 0.0000 0.0000
Co1 0.5000 0.5000 0.5000
Sb1 0.0000 0.5000 0.5000
I1 0.5000 0.5000 0.0000

# GaP2Pd2 PBE optimized geometry
# DOS at the Fermi energy = 0.6350 states/eV/atom
# energy relative to the lowest polymorph listed for this composition = 0.953 eV/f.u.
# formation enthalpy at 0 K = -23 meV/atom
data_GaP2Pd2
_cell_length_a 7.5885
_cell_length_b 7.5885
_cell_length_c 2.7964
_cell_angle_alpha 90.00
_cell_angle_beta 90.00
_cell_angle_gamma 90.00
_space_group_name_H-M_alt 'P 4/m b m'
_space_group_IT_number 127
_space_group_name_Hall '-P 4 2ab'
loop_
_atom_site_label
_atom_site_fract_x
_atom_site_fract_y
_atom_site_fract_z
Ga1 0.0000 0.0000 0.0000
P1 0.1487 0.3513 0.0000
Pd1 0.1402 0.6402 0.5000